# CoP2Os GGA-PBE relaxed
# * total moment: 0.0 μB per cell
# * E: -29.1 eV per cell
# * energy relative to the lowest polymorph listed for this composition: 315 meV/atom
data_CoP2Os
_cell_length_a 2.9426
_cell_length_b 2.9426
_cell_length_c 5.5678
_cell_angle_alpha 90.00
_cell_angle_beta 90.00
_cell_angle_gamma 90.00
_symmetry_space_group_name_H-M 'P 4/m m m'
_symmetry_Int_Tables_number 123
_symmetry_space_group_name_Hall '-P 4 2'
loop_
_atom_site_label
_atom_site_fract_x
_atom_site_fract_y
_atom_site_fract_z
Co1 0.0000 0.0000 0.0000
P1 0.5000 0.5000 0.2313
Os1 0.0000 0.0000 0.5000

=====

# CoP2Os GGA-PBE relaxed
# * total moment: 0.3 μB per cell
# * E: -28.7 eV per cell
# * energy relative to the lowest polymorph listed for this composition: 402 meV/atom
data_CoP2Os
_cell_length_a 3.3516
_cell_length_b 3.8226
_cell_length_c 4.2956
_cell_angle_alpha 90.00
_cell_angle_beta 96.12
_cell_angle_gamma 90.00
_symmetry_space_group_name_H-M 'P 1 2/m 1'
_symmetry_Int_Tables_number 10
_symmetry_space_group_name_Hall '-P 2y'
loop_
_atom_site_label
_atom_site_fract_x
_atom_site_fract_y
_atom_site_fract_z
Co1 0.0000 0.0000 0.0000
P1 0.3085 0.5000 0.1873
Os1 0.5000 0.0000 0.5000

=====

# CoP2Os GGA-PBE relaxed
# * total moment: 0.2 μB per cell
# * E: -29.7 eV per cell
# * energy relative to the lowest polymorph listed for this composition: 143 meV/atom
data_CoP2Os
_cell_length_a 3.1117
_cell_length_b 3.1117
_cell_length_c 5.1916
_cell_angle_alpha 90.00
_cell_angle_beta 90.00
_cell_angle_gamma 90.00
_symmetry_space_group_name_H-M 'P 4 m m'
_symmetry_Int_Tables_number 99
_symmetry_space_group_name_Hall 'P 4 -2'
loop_
_atom_site_label
_atom_site_fract_x
_atom_site_fract_y
_atom_site_fract_z
Co1 0.0000 0.0000 0.0000
P1 0.0000 0.0000 0.5666
P2 0.5000 0.5000 0.9055
Os1 0.5000 0.5000 0.3710

=====

no.,N(E_F) (states/eV/f.u.)
1,2.258
2,3.348
3,2.733